Nb3Tc5Te PBE relaxed; DFT total energy = -8.6461 eV per atom; symmetry = No. 3
1.0
5.9461 0.0000 0.0000
0.0000 5.9468 0.0000
-0.0285 0.0000 5.9462
Tc Nb Te
5 3 1
Direct
0.5000 0.0168 0.0000
0.7452 0.2610 0.7590
0.7423 0.7735 0.2465
0.2548 0.2610 0.2410
0.2577 0.7735 0.7535
0.5000 0.0196 0.5000
0.5000 0.5170 0.0000
0.0000 0.0129 0.0000
0.0000 0.5147 0.5000

=====

Th3NbTc4 PBE relaxed; formation energy from the elements = 320.3 kJ/mol of formula units; symmetry = No. 139
1.0
-2.7702 2.7702 5.8344
2.7702 -2.7702 5.8344
2.7702 2.7702 -5.8344
Tc Nb Th
4 1 3
Direct
0.0000 0.5000 0.5000
0.5000 0.0000 0.5000
0.7879 0.7879 0.0000
0.2121 0.2121 0.0000
0.0000 0.0000 0.0000
0.2500 0.7500 0.5000
0.7500 0.2500 0.5000
0.5000 0.5000 0.0000

=====

ThNbTc PBE relaxed; formation energy from the elements = 146.7 kJ/mol of formula units; symmetry = No. 216
1.0
0.0000 3.2508 3.2508
3.2508 0.0000 3.2508
3.2508 3.2508 0.0000
Nb Th Tc
1 1 1
Direct
0.0000 0.0000 0.0000
0.7500 0.7500 0.7500
0.2500 0.2500 0.2500

=====

NbTl2Tc PBE relaxed; DFT total energy = -5.5270 eV per atom; symmetry = No. 216
1.0
2.2362 -2.7588 3.2583
-2.5677 -2.3750 3.3157
-0.3861 -4.7983 -0.2333
Tl Nb Tc
2 1 1
Direct
0.5000 0.5000 0.5000
0.7500 0.7500 0.7500
0.0000 0.0000 0.0000
0.2500 0.2500 0.2500

=====

NbTcW2 PBE relaxed; formation energy from the elements = -36.0 kJ/mol of formula units; symmetry = No. 216
1.0
-1.8319 -4.0974 -0.3533
-4.4609 -0.5078 0.3344
-2.4221 -1.0767 -3.6391
W Tc Nb
2 1 1
Direct
0.5000 0.5000 0.5000
0.2500 0.2500 0.2500
0.0000 0.0000 0.0000
0.7500 0.7500 0.7500

=====

Y2NbTc PBE relaxed; formation energy from the elements = 122.6 kJ/mol of formula units; symmetry = No. 216
1.0
-3.5783 -2.3148 2.4816
-0.8650 1.1426 4.7188
-4.1114 2.4270 1.2357
Nb Y Tc
1 2 1
Direct
0.0000 0.0000 0.0000
0.7500 0.7500 0.7500
0.5000 0.5000 0.5000
0.2500 0.2500 0.2500

=====

NbZnTc PBE relaxed; formation energy from the elements = 135.2 kJ/mol of formula units; symmetry = No. 216; polymorph energy (0 for the lowest one) = 0.00 kcal/mol of atoms
1.0
1.6008 -1.0829 3.8345
-1.3806 -3.5529 1.9773
2.5946 -3.4025 0.3603
Nb Zn Tc
1 1 1
Direct
0.7500 0.7500 0.7500
0.2500 0.2500 0.2500
0.0000 0.0000 0.0000

=====

Nb2ZnTc PBE relaxed; formation energy from the elements = 29.7 kJ/mol of formula units; symmetry = No. 216
1.0
2.5476 1.6747 3.3240
-1.8441 2.6827 3.1219
-0.5366 -1.4914 4.2228
Nb Zn Tc
2 1 1
Direct
0.7500 0.7500 0.7500
0.0000 0.0000 0.0000
0.5000 0.5000 0.5000
0.2500 0.2500 0.2500

=====

NbZnTc PBE relaxed; formation energy from the elements = 200.6 kJ/mol of formula units; symmetry = No. 216; polymorph energy (0 for the lowest one) = 5.21 kcal/mol of atoms
1.0
0.0000 3.0523 3.0523
3.0523 0.0000 3.0523
3.0523 3.0523 0.0000
Zn Nb Tc
1 1 1
Direct
0.7500 0.7500 0.7500
0.0000 0.0000 0.0000
0.2500 0.2500 0.2500

=====

ZrNb2Tc3 PBE relaxed; formation energy from the elements = -211.1 kJ/mol of formula units; symmetry = No. 123
1.0
-0.3821 -2.3832 -2.1271
3.1896 -0.4014 -0.1232
-0.5248 -6.4015 7.2665
Nb Zr Tc
2 1 3
Direct
0.5000 0.5000 0.8349
0.5000 0.5000 0.1651
0.5000 0.5000 0.5000
0.0000 0.0000 0.3236
0.0000 0.0000 0.6764
0.0000 0.0000 0.0000

=====

ZrNbTc PBE relaxed; formation energy from the elements = 57.9 kJ/mol of formula units; symmetry = No. 216; polymorph energy (0 for the lowest one) = 10.76 kcal/mol of atoms
1.0
0.0000 3.1545 3.1545
3.1545 0.0000 3.1545
3.1545 3.1545 0.0000
Tc Zr Nb
1 1 1
Direct
0.0000 0.0000 0.0000
0.7500 0.7500 0.7500
0.2500 0.2500 0.2500

=====

Nb2Te PBE relaxed; DFT total energy = -5.1872 eV per atom; symmetry = No. 227
1.0
-7.7671 0.2176 -4.5678
-6.4139 5.9022 2.2948
-1.8548 6.9689 -5.4069
Te Nb
2 4
Direct
0.5000 0.5000 0.5000
0.2500 0.2500 0.2500
0.8750 0.3750 0.3750
0.3750 0.8750 0.3750
0.3750 0.3750 0.8750
0.3750 0.3750 0.3750